# HoZn2Cd

An optimized crystal structure of HoZn2Cd (GGA-PBE, Alexandria via LeMat-Bulk).

Results
N(E_F) (states/eV/f.u.): 2.64
E above lowest polymorph (kJ/mol of atoms): 0.00
Volume (Å³ per cell): 78.18

a b c (Å): 4.7995 4.7995 4.7995
angles (deg): 60.00 60.00 60.00
Element x y z (fractional)
1 Ho 0.0000 0.0000 0.0000
2 Zn 0.2500 0.2500 0.2500
3 Zn 0.7500 0.7500 0.7500
4 Cd 0.5000 0.5000 0.5000


# Ho6Zn5Cd

An optimized crystal structure of Ho6Zn5Cd (GGA-PBE, Alexandria via LeMat-Bulk).

Results
N(E_F) (states/eV/f.u.): 13.92
Final energy (eV per atom): -3.23
Volume (Å³ per cell): 276.30

a b c (Å): 8.0009 8.0009 7.1987
angles (deg): 90.00 90.00 143.16
Element x y z (fractional)
1 Ho 0.0000 0.0000 0.2408
2 Ho 0.0000 0.0000 0.7592
3 Ho 0.3298 0.6702 0.2458
4 Ho 0.3298 0.6702 0.7542
5 Ho 0.6702 0.3298 0.2458
6 Ho 0.6702 0.3298 0.7542
7 Zn 0.1649 0.8351 0.5000
8 Zn 0.1659 0.8341 0.0000
9 Zn 0.5000 0.5000 0.0000
10 Zn 0.8341 0.1659 0.0000
11 Zn 0.8351 0.1649 0.5000
12 Cd 0.5000 0.5000 0.5000


# HoZnCd

An optimized crystal structure of HoZnCd (GGA-PBE, Alexandria via LeMat-Bulk).

Results
N(E_F) (states/eV/f.u.): 2.10
Final energy (eV per atom): -2.59
Volume (Å³ per cell): 397.79

a b c (Å): 13.0665 4.0956 7.4333
angles (deg): 90.00 90.00 90.00
Element x y z (fractional)
1 Ho 0.0428 0.0000 0.2403
2 Ho 0.2500 0.0000 0.8535
3 Ho 0.4572 0.0000 0.2403
4 Ho 0.5428 0.0000 0.7597
5 Ho 0.7500 0.0000 0.1465
6 Ho 0.9572 0.0000 0.7597
7 Zn 0.0919 0.5000 0.9476
8 Zn 0.2500 0.0000 0.4438
9 Zn 0.4081 0.5000 0.9476
10 Zn 0.5919 0.5000 0.0524
11 Zn 0.7500 0.0000 0.5562
12 Zn 0.9081 0.5000 0.0524
13 Cd 0.1173 0.5000 0.5696
14 Cd 0.2500 0.5000 0.1959
15 Cd 0.3827 0.5000 0.5696
16 Cd 0.6173 0.5000 0.4304
17 Cd 0.7500 0.5000 0.8041
18 Cd 0.8827 0.5000 0.4304


# Ho2Zn15Cd2

An optimized crystal structure of Ho2Zn15Cd2 (GGA-PBE, Alexandria via LeMat-Bulk).

Results
N(E_F) (states/eV/f.u.): 3.94
Final energy (eV per atom): -1.79
Volume (Å³ per cell): 317.60

a b c (Å): 6.8728 6.8728 6.8728
angles (deg): 82.83 82.83 82.83
Element x y z (fractional)
1 Ho 0.1574 0.1574 0.1574
2 Ho 0.8426 0.8426 0.8426
3 Zn 0.0000 0.5000 0.5000
4 Zn 0.1452 0.1452 0.6673
5 Zn 0.1452 0.6673 0.1452
6 Zn 0.1967 0.5000 0.8033
7 Zn 0.1967 0.8033 0.5000
8 Zn 0.3327 0.8548 0.8548
9 Zn 0.5000 0.0000 0.5000
10 Zn 0.5000 0.1967 0.8033
11 Zn 0.5000 0.5000 0.0000
12 Zn 0.5000 0.8033 0.1967
13 Zn 0.6673 0.1452 0.1452
14 Zn 0.8033 0.1967 0.5000
15 Zn 0.8033 0.5000 0.1967
16 Zn 0.8548 0.3327 0.8548
17 Zn 0.8548 0.8548 0.3327
18 Cd 0.3940 0.3940 0.3940
19 Cd 0.6060 0.6060 0.6060


# Ho4ZnCd3

An optimized crystal structure of Ho4ZnCd3 (GGA-PBE, Alexandria via LeMat-Bulk).

Results
N(E_F) (states/eV/f.u.): 7.89
E above lowest polymorph (kJ/mol of atoms): 6.31
Volume (Å³ per cell): 204.42

a b c (Å): 3.6007 4.8117 11.7986
angles (deg): 90.00 90.00 90.00
Element x y z (fractional)
1 Ho 0.0000 0.0000 0.0000
2 Ho 0.0000 0.5000 0.3075
3 Ho 0.5000 0.0000 0.4849
4 Ho 0.5000 0.5000 0.8147
5 Zn 0.5000 0.0000 0.2266
6 Cd 0.0000 0.0000 0.7259
7 Cd 0.0000 0.5000 0.5781
8 Cd 0.5000 0.5000 0.0838


# Ho2ZnCd3

An optimized crystal structure of Ho2ZnCd3 (GGA-PBE, Alexandria via LeMat-Bulk).

Results
N(E_F) (states/eV/f.u.): 4.22
E above lowest polymorph (kJ/mol of atoms): 0.00
Volume (Å³ per cell): 139.49

a b c (Å): 3.4235 4.8589 8.3855
angles (deg): 90.00 90.00 90.00
Element x y z (fractional)
1 Ho 0.0000 0.0000 0.0000
2 Ho 0.0000 0.5000 0.4839
3 Zn 0.5000 0.0000 0.3230
4 Cd 0.5000 0.0000 0.6497
5 Cd 0.5000 0.5000 0.1642
6 Cd 0.5000 0.5000 0.8236


# Ho2Zn3Cd6

An optimized crystal structure of Ho2Zn3Cd6 (GGA-PBE, Alexandria via LeMat-Bulk).

Results
N(E_F) (states/eV/f.u.): 3.41
Final energy (eV per atom): -1.81
Volume (Å³ per cell): 245.76

a b c (Å): 8.0059 8.0059 4.4275
angles (deg): 90.00 90.00 120.00
Element x y z (fractional)
1 Ho 0.3333 0.6667 0.0000
2 Ho 0.6667 0.3333 0.0000
3 Zn 0.0000 0.3941 0.5000
4 Zn 0.3941 0.0000 0.5000
5 Zn 0.6059 0.6059 0.5000
6 Cd 0.0000 0.2116 0.0000
7 Cd 0.0000 0.7140 0.5000
8 Cd 0.2116 0.0000 0.0000
9 Cd 0.2860 0.2860 0.5000
10 Cd 0.7140 0.0000 0.5000
11 Cd 0.7884 0.7884 0.0000


# Ho4ZnCd

An optimized crystal structure of Ho4ZnCd (GGA-PBE, Alexandria via LeMat-Bulk).

Results
N(E_F) (states/eV/f.u.): 7.79
E above lowest polymorph (kJ/mol of atoms): 25.06
Volume (Å³ per cell): 178.77

a b c (Å): 4.9738 4.9738 7.2265
angles (deg): 90.00 90.00 90.00
Element x y z (fractional)
1 Ho 0.0000 0.5000 0.2383
2 Ho 0.0000 0.5000 0.7617
3 Ho 0.5000 0.0000 0.2383
4 Ho 0.5000 0.0000 0.7617
5 Zn 0.0000 0.0000 0.0000
6 Cd 0.5000 0.5000 0.5000


# Ho5ZnCd4

An optimized crystal structure of Ho5ZnCd4 (GGA-PBE, Alexandria via LeMat-Bulk).

Results
N(E_F) (states/eV/f.u.): 10.98
Final energy (eV per atom): -3.10
Volume (Å³ per cell): 251.82

a b c (Å): 3.6726 3.6726 18.6702
angles (deg): 90.00 90.00 90.00
Element x y z (fractional)
1 Ho 0.0000 0.0000 0.0000
2 Ho 0.0000 0.0000 0.2039
3 Ho 0.0000 0.0000 0.4090
4 Ho 0.0000 0.0000 0.5910
5 Ho 0.0000 0.0000 0.7961
6 Zn 0.5000 0.5000 0.5000
7 Cd 0.5000 0.5000 0.1018
8 Cd 0.5000 0.5000 0.3057
9 Cd 0.5000 0.5000 0.6943
10 Cd 0.5000 0.5000 0.8982


# Ho4ZnCd

An optimized crystal structure of Ho4ZnCd (GGA-PBE, Alexandria via LeMat-Bulk).

Results
N(E_F) (states/eV/f.u.): 8.26
E above lowest polymorph (kJ/mol of atoms): 0.00
Volume (Å³ per cell): 159.76

a b c (Å): 3.5489 3.5489 12.6847
angles (deg): 90.00 90.00 90.00
Element x y z (fractional)
1 Ho 0.0000 0.0000 0.1393
2 Ho 0.0000 0.0000 0.8607
3 Ho 0.5000 0.5000 0.3357
4 Ho 0.5000 0.5000 0.6643
5 Zn 0.5000 0.5000 0.0000
6 Cd 0.0000 0.0000 0.5000


# Ho11Zn4Cd9

An optimized crystal structure of Ho11Zn4Cd9 (GGA-PBE, Alexandria via LeMat-Bulk).

Results
N(E_F) (states/eV/f.u.): 21.58
Final energy (eV per atom): -2.97
Volume (Å³ per cell): 587.76

a b c (Å): 13.0792 13.0792 3.7211
angles (deg): 90.00 90.00 112.58
Element x y z (fractional)
1 Ho 0.0000 0.0000 0.0000
2 Ho 0.0744 0.4143 0.0000
3 Ho 0.1636 0.8364 0.0000
4 Ho 0.2902 0.2902 0.0000
5 Ho 0.3623 0.6377 0.0000
6 Ho 0.4143 0.0744 0.0000
7 Ho 0.5857 0.9256 0.0000
8 Ho 0.6377 0.3623 0.0000
9 Ho 0.7098 0.7098 0.0000
10 Ho 0.8364 0.1636 0.0000
11 Ho 0.9256 0.5857 0.0000
12 Zn 0.2589 0.4511 0.5000
13 Zn 0.4511 0.2589 0.5000
14 Zn 0.5489 0.7411 0.5000
15 Zn 0.7411 0.5489 0.5000
16 Cd 0.0652 0.2131 0.5000
17 Cd 0.1529 0.6317 0.5000
18 Cd 0.2131 0.0652 0.5000
19 Cd 0.3683 0.8471 0.5000
20 Cd 0.5000 0.5000 0.5000
21 Cd 0.6317 0.1529 0.5000
22 Cd 0.7869 0.9348 0.5000
23 Cd 0.8471 0.3683 0.5000
24 Cd 0.9348 0.7869 0.5000


# HoZnCd

An optimized crystal structure of HoZnCd (GGA-PBE, Alexandria via LeMat-Bulk).

Results
N(E_F) (states/eV/f.u.): 3.59
Final energy (eV per atom): -2.42
Volume (Å³ per cell): 72.47

a b c (Å): 4.6797 4.6797 4.6797
angles (deg): 60.00 60.00 60.00
Element x y z (fractional)
1 Ho 0.0000 0.0000 0.0000
2 Zn 0.7500 0.7500 0.7500
3 Cd 0.5000 0.5000 0.5000


# HoZn2Cd

An optimized crystal structure of HoZn2Cd (GGA-PBE, Alexandria via LeMat-Bulk).

Results
N(E_F) (states/eV/f.u.): 1.40
E above lowest polymorph (kJ/mol of atoms): 12.19
Volume (Å³ per cell): 81.72

a b c (Å): 3.3917 3.3917 7.1040
angles (deg): 90.00 90.00 90.00
Element x y z (fractional)
1 Ho 0.0000 0.0000 0.0000
2 Zn 0.5000 0.5000 0.2676
3 Zn 0.5000 0.5000 0.7324
4 Cd 0.0000 0.0000 0.5000


# Ho6ZnCd

An optimized crystal structure of Ho6ZnCd (GGA-PBE, Alexandria via LeMat-Bulk).

Results
N(E_F) (states/eV/f.u.): 8.96
E above lowest polymorph (kJ/mol of atoms): 0.00
Volume (Å³ per cell): 222.25

a b c (Å): 9.4637 9.4637 9.4637
angles (deg): 149.15 149.15 44.19
Element x y z (fractional)
1 Ho 0.1092 0.6092 0.5000
2 Ho 0.2500 0.2500 0.0000
3 Ho 0.3908 0.8908 0.5000
4 Ho 0.6092 0.1092 0.5000
5 Ho 0.7500 0.7500 0.0000
6 Ho 0.8908 0.3908 0.5000
7 Zn 0.0000 0.0000 0.0000
8 Cd 0.5000 0.5000 0.0000


# Ho6ZnCd

An optimized crystal structure of Ho6ZnCd (GGA-PBE, Alexandria via LeMat-Bulk).

Results
N(E_F) (states/eV/f.u.): 7.21
E above lowest polymorph (kJ/mol of atoms): 9.93
Volume (Å³ per cell): 220.22

a b c (Å): 6.0435 6.0468 6.0497
angles (deg): 92.84 92.80 92.96
Element x y z (fractional)
1 Ho 0.0229 0.2547 0.0497
2 Ho 0.2455 0.9507 0.4763
3 Ho 0.4509 0.4759 0.7455
4 Ho 0.5491 0.5241 0.2545
5 Ho 0.7545 0.0493 0.5237
6 Ho 0.9771 0.7453 0.9503
7 Zn 0.0000 0.5000 0.5000
8 Cd 0.5000 0.0000 0.0000


# Ho2ZnCd

An optimized crystal structure of Ho2ZnCd (GGA-PBE, Alexandria via LeMat-Bulk).

Results
N(E_F) (states/eV/f.u.): 3.38
E above lowest polymorph (kJ/mol of atoms): 1.69
Volume (Å³ per cell): 97.12

a b c (Å): 5.1595 5.1595 5.1595
angles (deg): 60.00 60.00 60.00
Element x y z (fractional)
1 Ho 0.2500 0.2500 0.2500
2 Ho 0.7500 0.7500 0.7500
3 Zn 0.0000 0.0000 0.0000
4 Cd 0.5000 0.5000 0.5000


# Ho4Zn3Cd2

An optimized crystal structure of Ho4Zn3Cd2 (GGA-PBE, Alexandria via LeMat-Bulk).

Results
N(E_F) (states/eV/f.u.): 6.86
Final energy (eV per atom): -2.93
Volume (Å³ per cell): 208.93

a b c (Å): 5.5764 5.5764 8.8290
angles (deg): 103.60 103.60 52.04
Element x y z (fractional)
1 Ho 0.0726 0.0726 0.3465
2 Ho 0.3649 0.3649 0.1016
3 Ho 0.6351 0.6351 0.8984
4 Ho 0.9274 0.9274 0.6535
5 Zn 0.0000 0.0000 0.0000
6 Zn 0.3746 0.3746 0.4414
7 Zn 0.6254 0.6254 0.5586
8 Cd 0.2584 0.2584 0.7228
9 Cd 0.7416 0.7416 0.2772


# HoZnCd

An optimized crystal structure of HoZnCd (GGA-PBE, Alexandria via LeMat-Bulk).

Results
N(E_F) (states/eV/f.u.): 2.19
Final energy (eV per atom): -2.57
Volume (Å³ per cell): 66.65

a b c (Å): 4.7217 4.7217 3.4518
angles (deg): 90.00 90.00 120.00
Element x y z (fractional)
1 Ho 0.0000 0.0000 0.0000
2 Zn 0.6667 0.3333 0.5000
3 Cd 0.3333 0.6667 0.5000


# Ho3Zn3Cd

An optimized crystal structure of Ho3Zn3Cd (GGA-PBE, Alexandria via LeMat-Bulk).

Results
N(E_F) (states/eV/f.u.): 7.32
Final energy (eV per atom): -2.92
Volume (Å³ per cell): 159.86

a b c (Å): 10.2663 10.2663 10.2663
angles (deg): 159.80 154.65 32.63
Element x y z (fractional)
1 Ho 0.0000 0.0000 0.0000
2 Ho 0.3938 0.3938 0.0000
3 Ho 0.6837 0.1837 0.5000
4 Zn 0.1231 0.6231 0.5000
5 Zn 0.5520 0.5520 0.0000
6 Zn 0.8407 0.8407 0.0000
7 Cd 0.2599 0.7599 0.5000


# HoZn2Cd4

An optimized crystal structure of HoZn2Cd4 (GGA-PBE, Alexandria via LeMat-Bulk).

Results
N(E_F) (states/eV/f.u.): 3.03
Final energy (eV per atom): -1.70
Volume (Å³ per cell): 148.58

a b c (Å): 8.5605 8.5605 4.0179
angles (deg): 90.00 90.00 149.69
Element x y z (fractional)
1 Ho 0.0000 0.0000 0.0000
2 Zn 0.4282 0.5718 0.5000
3 Zn 0.5718 0.4282 0.5000
4 Cd 0.1698 0.8302 0.5000
5 Cd 0.3151 0.6849 0.0000
6 Cd 0.6849 0.3151 0.0000
7 Cd 0.8302 0.1698 0.5000


# Ho6ZnCd5

An optimized crystal structure of Ho6ZnCd5 (GGA-PBE, Alexandria via LeMat-Bulk).

Results
N(E_F) (states/eV/f.u.): 12.81
Final energy (eV per atom): -3.09
Volume (Å³ per cell): 304.02

a b c (Å): 5.2210 7.4218 8.2647
angles (deg): 90.00 108.32 90.00
Element x y z (fractional)
1 Ho 0.0000 0.2410 0.0000
2 Ho 0.0000 0.7590 0.0000
3 Ho 0.3373 0.2461 0.6746
4 Ho 0.3373 0.7539 0.6746
5 Ho 0.6627 0.2461 0.3254
6 Ho 0.6627 0.7539 0.3254
7 Zn 0.5000 0.0000 0.0000
8 Cd 0.1679 0.5000 0.3357
9 Cd 0.1693 0.0000 0.3383
10 Cd 0.5000 0.5000 0.0000
11 Cd 0.8307 0.0000 0.6617
12 Cd 0.8321 0.5000 0.6643


# Ho4Zn2Cd5

An optimized crystal structure of Ho4Zn2Cd5 (GGA-PBE, Alexandria via LeMat-Bulk).

Results
N(E_F) (states/eV/f.u.): 9.01
Final energy (eV per atom): -2.59
Volume (Å³ per cell): 265.11

a b c (Å): 7.6126 3.6169 9.6488
angles (deg): 90.00 93.71 90.00
Element x y z (fractional)
1 Ho 0.1712 0.0000 0.3674
2 Ho 0.2516 0.0000 0.9380
3 Ho 0.7484 0.0000 0.0620
4 Ho 0.8288 0.0000 0.6326
5 Zn 0.0605 0.5000 0.1296
6 Zn 0.9395 0.5000 0.8704
7 Cd 0.1817 0.5000 0.6547
8 Cd 0.4401 0.5000 0.1892
9 Cd 0.5000 0.5000 0.5000
10 Cd 0.5599 0.5000 0.8108
11 Cd 0.8183 0.5000 0.3453


# Ho2ZnCd

An optimized crystal structure of Ho2ZnCd (GGA-PBE, Alexandria via LeMat-Bulk).

Results
N(E_F) (states/eV/f.u.): 4.00
E above lowest polymorph (kJ/mol of atoms): 0.00
Volume (Å³ per cell): 96.40

a b c (Å): 3.5785 3.5785 7.5275
angles (deg): 90.00 90.00 90.00
Element x y z (fractional)
1 Ho 0.0000 0.0000 0.2302
2 Ho 0.0000 0.0000 0.7698
3 Zn 0.5000 0.5000 0.0000
4 Cd 0.5000 0.5000 0.5000


# HoZnCd5

An optimized crystal structure of HoZnCd5 (GGA-PBE, Alexandria via LeMat-Bulk).

Results
N(E_F) (states/eV/f.u.): 3.88
Final energy (eV per atom): -1.65
Volume (Å³ per cell): 160.34

a b c (Å): 4.6625 4.6625 7.3756
angles (deg): 90.00 90.00 90.00
Element x y z (fractional)
1 Ho 0.0000 0.0000 0.0000
2 Zn 0.0000 0.0000 0.5000
3 Cd 0.0000 0.5000 0.2933
4 Cd 0.0000 0.5000 0.7067
5 Cd 0.5000 0.0000 0.2933
6 Cd 0.5000 0.0000 0.7067
7 Cd 0.5000 0.5000 0.0000